No. 1
Here is a relaxed PrGdAg2O4 crystal from the Open Quantum Materials Database. Energies are from PBE.

Output
Space group: P-3m1, No. 164
Total moment (μB/atom): 0.00
Uncorrected energy (eV/atom): -6.531

Unit cell a=3.630 b=3.630 c=12.506 alpha=90.00 beta=90.00 gamma=120.00
Positions (direct):
Pr (0.000, 0.000, 0.000)
Gd (0.000, 0.000, 0.500)
Ag (0.333, 0.667, 0.254)
Ag (0.667, 0.333, 0.746)
O (0.333, 0.667, 0.090)
O (0.333, 0.667, 0.419)
O (0.667, 0.333, 0.581)
O (0.667, 0.333, 0.910)

***

No. 2
Here is a relaxed GdAgSO crystal from the Open Quantum Materials Database. Energies are from PBE.

Output
Space group: P2_1, No. 4
Total moment (μB/atom): 0.00
Uncorrected energy (eV/atom): -6.057

Unit cell a=5.696 b=5.697 c=10.903 alpha=90.00 beta=91.87 gamma=90.00
Positions (direct):
Gd (0.005, 0.000, 0.100)
Gd (0.494, 0.001, 0.899)
Gd (0.506, 0.501, 0.101)
Gd (0.995, 0.500, 0.900)
Ag (0.190, 0.273, 0.497)
Ag (0.499, 0.019, 0.299)
Ag (0.501, 0.519, 0.701)
Ag (0.810, 0.773, 0.503)
S (0.203, 0.309, 0.281)
S (0.207, 0.229, 0.713)
S (0.793, 0.729, 0.287)
S (0.797, 0.809, 0.719)
O (0.250, 0.749, 0.000)
O (0.252, 0.249, 0.999)
O (0.748, 0.749, 0.001)
O (0.750, 0.249, 0.000)

***

Question: The highest uncorrected energy belongs to which entry?
Answer: GdAgSO

***

Question: Which value of total moment does entry 2 give?
Answer: 0.00 μB/atom